Record 1
# GGA-PBEsol Sb2OsRu, optimized geometry
data_Sb2OsRu
_chemical_formula_sum 'Sb4 Os2 Ru2'
_symmetry_space_group_name_H-M 'C m m m'
_symmetry_Int_Tables_number 65
_symmetry_space_group_name_Hall '-C 2 2'
_cell_length_a 6.2927
_cell_length_b 6.8452
_cell_length_c 3.1517
_cell_angle_alpha 90.00
_cell_angle_beta 90.00
_cell_angle_gamma 90.00
loop_
_atom_site_label
_atom_site_type_symbol
_atom_site_fract_x
_atom_site_fract_y
_atom_site_fract_z
Sb1 Sb 0.2500 0.2500 0.0000
Os1 Os 0.0000 0.0000 0.5000
Ru1 Ru 0.0000 0.5000 0.5000
# E above lowest polymorph = 0.114 eV/atom
# N(E_F) = 0.8089 states/eV per atom
# formation energy from raw total energies = 375 meV/atom

=====

Record 2
# GGA-PBEsol Cr4CdCoS8, optimized geometry
data_Cr4CdCoS8
_chemical_formula_sum 'Cr16 Cd4 Co4 S32'
_symmetry_space_group_name_H-M 'F -4 3 m'
_symmetry_Int_Tables_number 216
_symmetry_space_group_name_Hall 'F -4 2 3'
_cell_length_a 9.8628
_cell_length_b 9.8628
_cell_length_c 9.8628
_cell_angle_alpha 90.00
_cell_angle_beta 90.00
_cell_angle_gamma 90.00
loop_
_atom_site_label
_atom_site_type_symbol
_atom_site_fract_x
_atom_site_fract_y
_atom_site_fract_z
Cr1 Cr 0.1219 0.1219 0.1219
Cd1 Cd 0.0000 0.0000 0.5000
Co1 Co 0.2500 0.2500 0.7500
S1 S 0.1201 0.1201 0.8799
S2 S 0.1414 0.1414 0.3586
# N(E_F) = 0.2719 states/eV per atom
# formation energy from raw total energies = -625 meV/atom

=====

Record 3
# GGA-PBEsol LiSi2Sb, optimized geometry
data_LiSi2Sb
_chemical_formula_sum 'Li1 Si2 Sb1'
_symmetry_space_group_name_H-M 'P 4/m m m'
_symmetry_Int_Tables_number 123
_symmetry_space_group_name_Hall '-P 4 2'
_cell_length_a 2.9789
_cell_length_b 2.9789
_cell_length_c 7.9498
_cell_angle_alpha 90.00
_cell_angle_beta 90.00
_cell_angle_gamma 90.00
loop_
_atom_site_label
_atom_site_type_symbol
_atom_site_fract_x
_atom_site_fract_y
_atom_site_fract_z
Li1 Li 0.0000 0.0000 0.0000
Si1 Si 0.5000 0.5000 0.2131
Sb1 Sb 0.0000 0.0000 0.5000
# N(E_F) = 0.3776 states/eV per atom
# formation energy from raw total energies = 305 meV/atom

=====

Record 4
# GGA-PBEsol Y2FeCo, optimized geometry
data_Y2FeCo
_chemical_formula_sum 'Y6 Fe3 Co3'
_symmetry_space_group_name_H-M 'R 3 m'
_symmetry_Int_Tables_number 160
_symmetry_space_group_name_Hall 'R 3 -2"'
_cell_length_a 3.8141
_cell_length_b 3.8141
_cell_length_c 20.5839
_cell_angle_alpha 90.00
_cell_angle_beta 90.00
_cell_angle_gamma 120.00
loop_
_atom_site_label
_atom_site_type_symbol
_atom_site_fract_x
_atom_site_fract_y
_atom_site_fract_z
Y1 Y 0.0000 0.0000 0.0000
Y2 Y 0.0000 0.0000 0.1802
Fe1 Fe 0.0000 0.0000 0.4208
Co1 Co 0.0000 0.0000 0.7597
# E above lowest polymorph = 0.000 eV/atom
# formation energy from the elements = -123 meV per atom
# N(E_F) = 0.7367 states/eV per atom

=====

Record 5
# GGA-PBEsol SbTeN2O, optimized geometry
data_SbTeN2O
_chemical_formula_sum 'Sb1 Te1 N2 O1'
_symmetry_space_group_name_H-M 'P 4/m m m'
_symmetry_Int_Tables_number 123
_symmetry_space_group_name_Hall '-P 4 2'
_cell_length_a 3.8129
_cell_length_b 3.8129
_cell_length_c 6.3284
_cell_angle_alpha 90.00
_cell_angle_beta 90.00
_cell_angle_gamma 90.00
loop_
_atom_site_label
_atom_site_type_symbol
_atom_site_fract_x
_atom_site_fract_y
_atom_site_fract_z
Sb1 Sb 0.0000 0.0000 0.0000
Te1 Te 0.0000 0.0000 0.5000
N1 N 0.0000 0.5000 0.0000
O1 O 0.5000 0.5000 0.5000
# N(E_F) = 0.8360 states/eV per atom
# formation energy from raw total energies = 1403 meV/atom

=====

Record 6
# GGA-PBEsol ZrMnNi2, optimized geometry
data_ZrMnNi2
_chemical_formula_sum 'Zr3 Mn3 Ni6'
_symmetry_space_group_name_H-M 'R 3 m'
_symmetry_Int_Tables_number 160
_symmetry_space_group_name_Hall 'R 3 -2"'
_cell_length_a 2.7666
_cell_length_b 2.7666
_cell_length_c 24.9885
_cell_angle_alpha 90.00
_cell_angle_beta 90.00
_cell_angle_gamma 120.00
loop_
_atom_site_label
_atom_site_type_symbol
_atom_site_fract_x
_atom_site_fract_y
_atom_site_fract_z
Zr1 Zr 0.0000 0.0000 0.0000
Mn1 Mn 0.0000 0.0000 0.2380
Ni1 Ni 0.0000 0.0000 0.4975
Ni2 Ni 0.0000 0.0000 0.7546
# formation energy from the elements = 304 meV per atom
# N(E_F) = 1.0149 states/eV per atom

=====

Record 7
# GGA-PBEsol LiLa2HO3, optimized geometry
data_LiLa2HO3
_chemical_formula_sum 'Li2 La4 H2 O6'
_symmetry_space_group_name_H-M 'I m m m'
_symmetry_Int_Tables_number 71
_symmetry_space_group_name_Hall '-I 2 2'
_cell_length_a 3.5320
_cell_length_b 3.7388
_cell_length_c 12.7695
_cell_angle_alpha 90.00
_cell_angle_beta 90.00
_cell_angle_gamma 90.00
loop_
_atom_site_label
_atom_site_type_symbol
_atom_site_fract_x
_atom_site_fract_y
_atom_site_fract_z
Li1 Li 0.0000 0.0000 0.0000
La1 La 0.0000 0.0000 0.3636
H1 H 0.0000 0.5000 0.5000
O1 O 0.0000 0.0000 0.1761
O2 O 0.0000 0.5000 0.0000
# N(E_F) = 0.0000 states/eV per atom

=====

Record 8
# GGA-PBEsol Mn2InW, optimized geometry
data_Mn2InW
_chemical_formula_sum 'Mn2 In1 W1'
_symmetry_space_group_name_H-M 'P 4/m m m'
_symmetry_Int_Tables_number 123
_symmetry_space_group_name_Hall '-P 4 2'
_cell_length_a 3.0278
_cell_length_b 3.0278
_cell_length_c 6.1039
_cell_angle_alpha 90.00
_cell_angle_beta 90.00
_cell_angle_gamma 90.00
loop_
_atom_site_label
_atom_site_type_symbol
_atom_site_fract_x
_atom_site_fract_y
_atom_site_fract_z
Mn1 Mn 0.0000 0.0000 0.2223
In1 In 0.5000 0.5000 0.5000
W1 W 0.5000 0.5000 0.0000
# formation energy from the elements = 190 meV per atom
# N(E_F) = 1.0092 states/eV per atom

=====

Record 9
# GGA-PBEsol SiPS2, optimized geometry
data_SiPS2
_chemical_formula_sum 'Si4 P4 S8'
_symmetry_space_group_name_H-M 'I -4 2 d'
_symmetry_Int_Tables_number 122
_symmetry_space_group_name_Hall 'I -4 2bw'
_cell_length_a 6.4785
_cell_length_b 6.4785
_cell_length_c 6.2771
_cell_angle_alpha 90.00
_cell_angle_beta 90.00
_cell_angle_gamma 90.00
loop_
_atom_site_label
_atom_site_type_symbol
_atom_site_fract_x
_atom_site_fract_y
_atom_site_fract_z
Si1 Si 0.0000 0.0000 0.0000
P1 P 0.0000 0.0000 0.5000
S1 S 0.2366 0.7500 0.1250
# E above lowest polymorph = 0.246 eV/atom
# N(E_F) = 0.4150 states/eV per atom
# formation energy from raw total energies = 278 meV/atom

=====

Record 10
# GGA-PBEsol Zr2TaTe, optimized geometry
data_Zr2TaTe
_chemical_formula_sum 'Zr4 Ta2 Te2'
_symmetry_space_group_name_H-M 'C 1 m 1'
_symmetry_Int_Tables_number 8
_symmetry_space_group_name_Hall 'C -2y'
_cell_length_a 10.1009
_cell_length_b 3.5644
_cell_length_c 4.8252
_cell_angle_alpha 90.00
_cell_angle_beta 109.87
_cell_angle_gamma 90.00
loop_
_atom_site_label
_atom_site_type_symbol
_atom_site_fract_x
_atom_site_fract_y
_atom_site_fract_z
Zr1 Zr 0.0000 0.0000 0.0000
Zr2 Zr 0.2430 0.0000 0.7645
Ta1 Ta 0.0037 0.5000 0.4867
Te1 Te 0.2613 0.5000 0.2857
# N(E_F) = 0.7589 states/eV per atom
# formation energy from raw total energies = -213 meV/atom

=====

Record 11
# GGA-PBEsol Hg3H6PtN2Cl8, optimized geometry
data_Hg3H6PtN2Cl8
_chemical_formula_sum 'Hg12 H24 Pt4 N8 Cl32'
_symmetry_space_group_name_H-M 'C 1 2/c 1'
_symmetry_Int_Tables_number 15
_symmetry_space_group_name_Hall '-C 2yc'
_cell_length_a 18.4029
_cell_length_b 6.5648
_cell_length_c 12.4569
_cell_angle_alpha 90.00
_cell_angle_beta 99.52
_cell_angle_gamma 90.00
loop_
_atom_site_label
_atom_site_type_symbol
_atom_site_fract_x
_atom_site_fract_y
_atom_site_fract_z
Hg1 Hg 0.0000 0.0000 0.0000
Hg2 Hg 0.2001 0.0133 0.4238
H1 H 0.0516 0.4622 0.1605
H2 H 0.0886 0.4640 0.2922
H3 H 0.1208 0.3787 0.7048
Pt1 Pt 0.0000 0.2266 0.7500
N1 N 0.0738 0.4449 0.7245
Cl1 Cl 0.0627 0.2956 0.4630
Cl2 Cl 0.0857 0.0137 0.2244
Cl3 Cl 0.1492 0.2710 0.9947
Cl4 Cl 0.2409 0.2203 0.6497
# N(E_F) = 0.0000 states/eV per atom

=====

Record 12
# GGA-PBEsol Ga2NiO4, optimized geometry
data_Ga2NiO4
_chemical_formula_sum 'Ga8 Ni4 O16'
_symmetry_space_group_name_H-M 'I m m a'
_symmetry_Int_Tables_number 74
_symmetry_space_group_name_Hall '-I 2b 2'
_cell_length_a 5.7647
_cell_length_b 5.9138
_cell_length_c 8.2474
_cell_angle_alpha 90.00
_cell_angle_beta 90.00
_cell_angle_gamma 90.00
loop_
_atom_site_label
_atom_site_type_symbol
_atom_site_fract_x
_atom_site_fract_y
_atom_site_fract_z
Ga1 Ga 0.0000 0.0000 0.0000
Ga2 Ga 0.0000 0.2500 0.3675
Ni1 Ni 0.2500 0.2500 0.7500
O1 O 0.0000 0.0091 0.7621
O2 O 0.2354 0.2500 0.9979
# E above lowest polymorph = 0.000 eV/atom
# formation energy from raw total energies = -1546 meV/atom

=====

Per-record V, Å³ per cell: 136; 959; 71; 259; 92; 166; 169; 56; 263; 163; 1484; 281
Per-record raw total energy, eV per atom: -7.501; -6.694; -4.199; -7.709; -4.674; -7.488; -7.143; -8.888; -4.799; -8.777; -3.637; -6.380